(1)
A geometry-optimized DyPuGePt structure, computed with PBE-GGA.

Calculated values
energy relative to the elements = -705 meV per atom
DOS at the Fermi energy = 10.12 states/eV/f.u.
theoretical density = 12.509 g/cm3
energy = -8.103 eV/atom
volume = 358 Å³ per cell

Cell lengths 7.1006, 7.1006, 7.1006 Å; angles 90.00, 90.00, 90.00 degrees
Space group F-43m (No. 216)
Unique sites:
Dy1 0.0000 0.0000 0.0000 x4
Pu1 0.0000 0.0000 0.5000 x4
Ge1 0.2500 0.2500 0.7500 x4
Pt1 0.2500 0.2500 0.2500 x4

***

(2)
A geometry-optimized Dy2PuGe3Pt4 structure, computed with PBE-GGA.

Calculated values
energy relative to the elements = -828 meV per atom
DOS at the Fermi energy = 12.24 states/eV/f.u.
theoretical density = 12.812 g/cm3
energy = -6.983 eV/atom
volume = 203 Å³ per cell

Cell lengths 4.2408, 4.2408, 11.2944 Å; angles 90.00, 90.00, 90.00 degrees
Space group P-4m2 (No. 115)
Unique sites:
Dy1 0.0000 0.5000 0.2206 x2
Pu1 0.0000 0.0000 0.5000 x1
Ge1 0.0000 0.5000 0.8755 x2
Ge2 0.5000 0.5000 0.5000 x1
Pt1 0.0000 0.0000 0.0000 x1
Pt2 0.0000 0.5000 0.6615 x2
Pt3 0.5000 0.5000 0.0000 x1

***

(3)
A geometry-optimized Dy2Ge4PtRh3 structure, computed with PBE-GGA.

Calculated values
energy relative to the elements = -853 meV per atom
DOS at the Fermi energy = 4.33 states/eV/f.u.
theoretical density = 10.328 g/cm3
energy = -6.430 eV/atom
volume = 180 Å³ per cell

Cell lengths 4.1741, 4.1741, 10.3287 Å; angles 90.00, 90.00, 90.00 degrees
Space group P-4m2 (No. 115)
Unique sites:
Dy1 0.0000 0.5000 0.2418 x2
Ge1 0.0000 0.0000 0.0000 x1
Ge2 0.0000 0.5000 0.6384 x2
Ge3 0.5000 0.5000 0.0000 x1
Pt1 0.0000 0.0000 0.5000 x1
Rh1 0.0000 0.5000 0.8706 x2
Rh2 0.5000 0.5000 0.5000 x1

***

(4)
A geometry-optimized Dy4GePtS2 structure, computed with PBE-GGA.

Calculated values
E_form (uncorrected) = -1.4737 eV/atom
DOS at the Fermi energy = 5.39 states/eV/f.u.
theoretical density = 8.765 g/cm3
energy = -6.139 eV/atom
volume = 186 Å³ per cell

Cell lengths 6.8860, 3.9810, 7.1778 Å; angles 90.00, 109.04, 90.00 degrees
Space group P2/m (No. 10)
Unique sites:
Dy1 0.2451 0.0000 0.2487 x2
Dy2 0.2490 0.5000 0.7453 x2
Ge1 0.5000 0.0000 0.0000 x1
Pt1 0.0000 0.5000 0.0000 x1
S1 0.0000 0.0000 0.5000 x1
S2 0.5000 0.5000 0.5000 x1

***

Repeat the first record exactly.
A geometry-optimized DyPuGePt structure, computed with PBE-GGA.

Calculated values
energy relative to the elements = -705 meV per atom
DOS at the Fermi energy = 10.12 states/eV/f.u.
theoretical density = 12.509 g/cm3
energy = -8.103 eV/atom
volume = 358 Å³ per cell

Cell lengths 7.1006, 7.1006, 7.1006 Å; angles 90.00, 90.00, 90.00 degrees
Space group F-43m (No. 216)
Unique sites:
Dy1 0.0000 0.0000 0.0000 x4
Pu1 0.0000 0.0000 0.5000 x4
Ge1 0.2500 0.2500 0.7500 x4
Pt1 0.2500 0.2500 0.2500 x4